# 1
The following is a PBEsol calculation of Si4Mo2P4O23 after structural relaxation, from Alexandria.

Computed properties:
* total energy: -267.7 eV/f.u.
* symmetry: P-1

The structure in POSCAR format:
```
Si4Mo2P4O23
1.0
5.249 0.000 0.000
2.464 8.150 0.000
2.399 1.791 10.863
Si Mo P O
4 2 4 23
Direct
0.060 0.184 0.214 Si
0.439 0.688 0.929 Si
0.561 0.312 0.071 Si
0.940 0.816 0.786 Si
0.291 0.256 0.648 Mo
0.709 0.744 0.352 Mo
0.159 0.684 0.552 P
0.249 0.808 0.172 P
0.751 0.192 0.828 P
0.841 0.316 0.448 P
0.001 0.741 0.198 O
0.007 0.264 0.552 O
0.031 0.823 0.638 O
0.145 0.517 0.630 O
0.169 0.994 0.187 O
0.191 0.723 0.858 O
0.297 0.278 0.163 O
0.361 0.816 0.030 O
0.410 0.049 0.672 O
0.450 0.696 0.504 O
0.469 0.709 0.245 O
0.500 0.500 0.000 O
0.531 0.291 0.755 O
0.550 0.304 0.496 O
0.590 0.951 0.328 O
0.639 0.184 0.970 O
0.703 0.722 0.837 O
0.809 0.277 0.142 O
0.831 0.006 0.813 O
0.855 0.483 0.370 O
0.969 0.177 0.362 O
0.993 0.736 0.448 O
0.999 0.259 0.802 O
```



# 2
The following is a PBEsol calculation of CdAsIr2 after structural relaxation, from Alexandria.

Computed properties:
* total energy: -25.3 eV/f.u.
* symmetry: P4mm
* DOS(E_F): 0.877 states/eV per atom
* energy relative to the lowest polymorph listed for this composition: 0.0000 eV/atom

The structure in POSCAR format:
```
CdAsIr2
1.0
2.882 0.000 0.000
0.000 2.882 0.000
0.000 0.000 8.021
Cd As Ir
1 1 2
Direct
0.000 0.000 0.000 Cd
0.500 0.500 0.668 As
0.000 0.000 0.472 Ir
0.500 0.500 0.242 Ir
```



# 3
The following is a PBEsol calculation of NbCdSi2 after structural relaxation, from Alexandria.

Computed properties:
* total energy: -21.7 eV/f.u.
* symmetry: I-42d
* DOS(E_F): 1.007 states/eV per atom

The structure in POSCAR format:
```
NbCdSi2
1.0
-3.549 3.549 2.843
3.549 -3.549 2.843
3.549 3.549 -2.843
Nb Cd Si
2 2 4
Direct
0.000 0.000 0.000 Nb
0.750 0.250 0.500 Nb
0.250 0.750 0.500 Cd
0.500 0.500 0.000 Cd
0.121 0.625 0.996 Si
0.375 0.371 0.496 Si
0.629 0.125 0.004 Si
0.875 0.879 0.504 Si
```



# 4
The following is a PBEsol calculation of BeAs2SeI after structural relaxation, from Alexandria.

Computed properties:
* total energy: -11.6 eV/f.u.
* symmetry: P4/mmm
* DOS(E_F): 1.158 states/eV per atom

The structure in POSCAR format:
```
BeAs2SeI
1.0
5.289 0.000 0.000
0.000 5.289 0.000
0.000 0.000 5.272
Be As Se I
1 2 1 1
Direct
0.000 0.000 0.000 Be
0.000 0.500 0.500 As
0.500 0.000 0.500 As
0.500 0.500 0.000 Se
0.500 0.500 0.500 I
```



Q: total energy of number 4 (BeAs2SeI)?
A: -11.6 eV/f.u.



Q: What is the formula in the third record?
A: NbCdSi2



Q: The lowest total energy belongs to which entry?
A: Si4Mo2P4O23